Entry 1:
Material: La2In3Te6Pb
Method: DFT, PBE-GGA
State: optimized geometry

Computed properties:
calculated total energy	-4.185	eV per atom

a = 10.5441 Å, b = 10.5441 Å, c = 9.4590 Å
α = 104.91°, β = 104.91°, γ = 25.08°
Closest atoms and distances in Å follow each position.
Atoms (fractional coordinates):
La 0.1657 0.1657 0.3292  6 Te 3.21-3.27
La 0.8343 0.8343 0.6708  6 Te 3.21-3.27
In 0.1664 0.1664 0.8331  6 Te 3.33-3.39
In 0.5000 0.5000 0.5000  6 Te 3.26-3.37
In 0.8336 0.8336 0.1669  6 Te 3.33-3.39
Te 0.0043 0.0043 0.2567  1 La 3.21, 3 In 3.26-3.39, 2 Pb 3.32
Te 0.3306 0.3306 0.4270  3 La 3.24-3.27, 3 In 3.37
Te 0.3337 0.3337 0.9077  2 La 3.21, 1 Pb 3.30, 3 In 3.33-3.36
Te 0.6663 0.6663 0.0923  2 La 3.21, 1 Pb 3.30, 3 In 3.33-3.36
Te 0.6694 0.6694 0.5730  3 La 3.24-3.27, 3 In 3.37
Te 0.9957 0.9957 0.7433  1 La 3.21, 3 In 3.26-3.39, 2 Pb 3.32
Pb 0.5000 0.5000 0.0000  6 Te 3.30-3.32

=====

Entry 2:
Material: LaIn2Te4Pb
Method: DFT, PBE-GGA
State: optimized geometry

Computed properties:
calculated total energy	-4.004	eV per atom

a = 7.9823 Å, b = 4.5608 Å, c = 8.1487 Å
α = 90.00°, β = 109.03°, γ = 90.00°
Closest atoms and distances in Å follow each position.
Atoms (fractional coordinates):
La 0.0000 0.0000 0.0000  6 Te 3.22-3.23
In 0.0000 0.5000 0.5000  6 Te 3.24-3.26
In 0.5000 0.0000 0.5000  6 Te 3.32-3.33
Te 0.2415 0.0000 0.7491  1 La 3.23, 3 In 3.24-3.33, 2 Pb 3.30
Te 0.2407 0.5000 0.2444  2 La 3.22, 3 In 3.26-3.32, 1 Pb 3.31
Te 0.7585 0.0000 0.2509  1 La 3.23, 3 In 3.24-3.33, 2 Pb 3.30
Te 0.7593 0.5000 0.7556  2 La 3.22, 3 In 3.26-3.32, 1 Pb 3.31
Pb 0.5000 0.5000 0.0000  6 Te 3.30-3.31

=====

Entry 3:
Material: LaYInPb
Method: DFT, PBE-GGA
State: optimized geometry

Computed properties:
calculated total energy	-4.969	eV per atom
energy of formation	-0.509	eV/atom

a = 5.7630 Å, b = 5.7630 Å, c = 5.7630 Å
α = 127.37°, β = 127.37°, γ = 77.65°
Closest atoms and distances in Å follow each position.
Atoms (fractional coordinates):
La 0.0000 0.0000 0.0000  4 In 3.40, 4 Pb 3.40, 4 Y 3.61
Y 0.5000 0.5000 0.0000  4 In 3.40, 4 Pb 3.40, 4 La 3.61
In 0.7500 0.2500 0.5000  4 Y 3.40, 4 La 3.40, 4 Pb 3.61
Pb 0.2500 0.7500 0.5000  4 Y 3.40, 4 La 3.40, 4 In 3.61

=====

Entry 4:
Material: LaInPd3
Method: DFT, PBE-GGA
State: optimized geometry

Computed properties:
energy above the lowest structure with this stoichiometry	134.3	kJ/mol of formula units
calculated total energy	-4.823	eV per atom
energy of formation	-0.174	eV/atom

a = 4.9828 Å, b = 4.9828 Å, c = 4.9828 Å
α = 90.00°, β = 90.00°, γ = 90.00°
Closest atoms and distances in Å follow each position.
Atoms (fractional coordinates):
La 0.0000 0.0000 0.0000  12 Pd 3.52
In 0.5000 0.5000 0.5000  6 Pd 2.49
Pd 0.0000 0.5000 0.5000  2 In 2.49
Pd 0.5000 0.0000 0.5000  2 In 2.49
Pd 0.5000 0.5000 0.0000  2 In 2.49

=====

Entry 5:
Material: LaIn5Pd3
Method: DFT, PBE-GGA
State: optimized geometry

Computed properties:
calculated total energy	-4.225	eV per atom
energy of formation	-0.425	eV/atom

a = 7.4451 Å, b = 7.4451 Å, c = 13.8544 Å
α = 90.00°, β = 90.00°, γ = 146.83°
Closest atoms and distances in Å follow each position.
Atoms (fractional coordinates):
La 0.1745 0.8255 0.7500  6 Pd 3.25-3.55
La 0.8255 0.1745 0.2500  6 Pd 3.25-3.55
In 0.0000 0.0000 0.0000  4 Pd 2.75, 2 In 3.02
In 0.0000 0.0000 0.5000  4 Pd 2.75, 2 In 3.02
In 0.2031 0.7969 0.0614  4 Pd 2.67-2.99
In 0.2031 0.7969 0.4386  4 Pd 2.67-2.99
In 0.4404 0.5596 0.6493  4 Pd 2.74-2.94, 1 In 2.79
In 0.4404 0.5596 0.8507  4 Pd 2.74-2.94, 1 In 2.79
In 0.5596 0.4404 0.1493  4 Pd 2.74-2.94, 1 In 2.79
In 0.5596 0.4404 0.3507  4 Pd 2.74-2.94, 1 In 2.79
In 0.7969 0.2031 0.5614  4 Pd 2.67-2.99
In 0.7969 0.2031 0.9386  4 Pd 2.67-2.99
Pd 0.1528 0.8472 0.2500  6 In 2.71-2.87
Pd 0.3903 0.6097 0.0562  7 In 2.67-2.99
Pd 0.3903 0.6097 0.4438  7 In 2.67-2.99
Pd 0.6097 0.3903 0.5562  7 In 2.67-2.99
Pd 0.6097 0.3903 0.9438  7 In 2.67-2.99
Pd 0.8472 0.1528 0.7500  6 In 2.71-2.87

=====

Entry 6:
Material: La3InPd12
Method: DFT, PBE-GGA
State: optimized geometry

Computed properties:
calculated total energy	-5.694	eV per atom
energy of formation	-0.705	eV/atom

a = 4.2080 Å, b = 4.2080 Å, c = 16.5680 Å
α = 90.00°, β = 90.00°, γ = 90.00°
Closest atoms and distances in Å follow each position.
Atoms (fractional coordinates):
La 0.0000 0.0000 0.0000  12 Pd 2.98-2.99
La 0.0000 0.0000 0.2578  12 Pd 2.98-3.01
La 0.0000 0.0000 0.7422  12 Pd 2.98-3.01
In 0.0000 0.0000 0.5000  12 Pd 2.84-2.98
Pd 0.0000 0.5000 0.1279  8 Pd 2.98-2.99, 4 La 2.99-3.01
Pd 0.0000 0.5000 0.3850  8 Pd 2.84-3.00, 2 In 2.84, 2 La 2.98
Pd 0.0000 0.5000 0.6150  2 In 2.84, 8 Pd 2.84-3.00, 2 La 2.98
Pd 0.0000 0.5000 0.8721  8 Pd 2.98-2.99, 4 La 2.99-3.01
Pd 0.5000 0.0000 0.1279  8 Pd 2.98-2.99, 4 La 2.99-3.01
Pd 0.5000 0.0000 0.3850  8 Pd 2.84-3.00, 2 In 2.84, 2 La 2.98
Pd 0.5000 0.0000 0.6150  2 In 2.84, 8 Pd 2.84-3.00, 2 La 2.98
Pd 0.5000 0.0000 0.8721  8 Pd 2.98-2.99, 4 La 2.99-3.01
Pd 0.5000 0.5000 0.0000  4 La 2.98, 8 Pd 2.99
Pd 0.5000 0.5000 0.2563  4 La 2.98, 8 Pd 2.99-3.00
Pd 0.5000 0.5000 0.5000  8 Pd 2.84, 4 In 2.98
Pd 0.5000 0.5000 0.7437  4 La 2.98, 8 Pd 2.99-3.00

=====

Entry 7:
Material: LaIn3Pd4
Method: DFT, PBE-GGA
State: optimized geometry

Computed properties:
calculated total energy	-4.848	eV per atom
energy of formation	-0.609	eV/atom

a = 9.3497 Å, b = 9.3497 Å, c = 9.3497 Å
α = 28.50°, β = 28.50°, γ = 28.50°
Closest atoms and distances in Å follow each position.
Atoms (fractional coordinates):
La 0.0000 0.0000 0.0000  6 Pd 3.17
In 0.2436 0.2436 0.2436  7 Pd 2.74-2.99
In 0.5000 0.5000 0.5000  8 Pd 2.75-2.81
In 0.7564 0.7564 0.7564  7 Pd 2.74-2.99
Pd 0.1325 0.1325 0.1325  7 In 2.81-2.99
Pd 0.3979 0.3979 0.3979  4 In 2.74-2.75
Pd 0.6021 0.6021 0.6021  4 In 2.74-2.75
Pd 0.8675 0.8675 0.8675  7 In 2.81-2.99

=====

Entry 8:
Material: LaInPd6
Method: DFT, PBE-GGA
State: optimized geometry

Computed properties:
energy above the lowest structure with this stoichiometry	0.0	kJ/mol of formula units
calculated total energy	-5.464	eV per atom
energy of formation	-0.611	eV/atom

a = 4.1674 Å, b = 4.1674 Å, c = 8.1669 Å
α = 90.00°, β = 90.00°, γ = 90.00°
Closest atoms and distances in Å follow each position.
Atoms (fractional coordinates):
La 0.0000 0.0000 0.0000  12 Pd 2.95-3.00
In 0.0000 0.0000 0.5000  12 Pd 2.84-2.95
Pd 0.0000 0.5000 0.2637  2 In 2.84, 8 Pd 2.84-3.00, 2 La 3.00
Pd 0.0000 0.5000 0.7363  2 In 2.84, 8 Pd 2.84-3.00, 2 La 3.00
Pd 0.5000 0.0000 0.2637  2 In 2.84, 8 Pd 2.84-3.00, 2 La 3.00
Pd 0.5000 0.0000 0.7363  2 In 2.84, 8 Pd 2.84-3.00, 2 La 3.00
Pd 0.5000 0.5000 0.0000  4 La 2.95, 8 Pd 3.00
Pd 0.5000 0.5000 0.5000  8 Pd 2.84, 4 In 2.95

=====

Entry 9:
Material: La2InPd2
Method: DFT, PBE-GGA
State: optimized geometry

Computed properties:
calculated total energy	-5.101	eV per atom
energy of formation	-0.505	eV/atom

a = 8.6286 Å, b = 8.6286 Å, c = 3.5893 Å
α = 90.00°, β = 90.00°, γ = 90.00°
Closest atoms and distances in Å follow each position.
Atoms (fractional coordinates):
La 0.1598 0.3402 0.0000  6 Pd 3.08-3.14, 2 In 3.24
La 0.3402 0.8402 0.0000  6 Pd 3.08-3.14, 2 In 3.24
La 0.6598 0.1598 0.0000  6 Pd 3.08-3.14, 2 In 3.24
La 0.8402 0.6598 0.0000  6 Pd 3.08-3.14, 2 In 3.24
In 0.0000 0.0000 0.0000  4 La 3.24, 2 In 3.59
In 0.5000 0.5000 0.0000  4 La 3.24, 2 In 3.59
Pd 0.1291 0.6291 0.5000  6 La 3.08-3.14, 1 Pd 3.15
Pd 0.3709 0.1291 0.5000  6 La 3.08-3.14, 1 Pd 3.15
Pd 0.6291 0.8709 0.5000  6 La 3.08-3.14, 1 Pd 3.15
Pd 0.8709 0.3709 0.5000  6 La 3.08-3.14, 1 Pd 3.15

=====

Entry 10:
Material: La2InPd
Method: DFT, PBE-GGA
State: optimized geometry

Computed properties:
calculated total energy	-5.075	eV per atom
energy of formation	-0.628	eV/atom

a = 3.7165 Å, b = 3.7165 Å, c = 8.0611 Å
α = 90.00°, β = 90.00°, γ = 90.00°
Closest atoms and distances in Å follow each position.
Atoms (fractional coordinates):
La 0.0000 0.0000 0.2220  4 Pd 3.18, 4 In 3.45
La 0.0000 0.0000 0.7780  4 Pd 3.18, 4 In 3.45
In 0.5000 0.5000 0.5000  8 La 3.45, 4 In 3.72
Pd 0.5000 0.5000 0.0000  8 La 3.18

=====

Entry 11:
Material: La6In3Pd
Method: DFT, PBE-GGA
State: optimized geometry

Computed properties:
energy above the lowest structure with this stoichiometry	26.2	kJ/mol of formula units
calculated total energy	-4.714	eV per atom
energy of formation	-0.417	eV/atom

a = 9.6864 Å, b = 11.7450 Å, c = 5.6054 Å
α = 90.00°, β = 90.00°, γ = 90.00°
Closest atoms and distances in Å follow each position.
Atoms (fractional coordinates):
La 0.0024 0.2360 0.0000  1 Pd 2.77, 1 In 3.10
La 0.1602 0.0623 0.5000  2 Pd 3.29, 2 In 3.37-3.68, 3 La 3.43-3.51
La 0.1752 0.4440 0.5000  1 Pd 3.21, 3 In 3.34-3.59, 2 La 3.51
La 0.3248 0.9440 0.0000  1 Pd 3.21, 3 In 3.34-3.59, 2 La 3.51
La 0.3398 0.5623 0.0000  2 Pd 3.29, 2 In 3.37-3.68, 3 La 3.43-3.51
La 0.4976 0.7360 0.5000  1 Pd 2.77, 1 In 3.10
La 0.5024 0.2640 0.5000  1 Pd 2.77, 1 In 3.10
La 0.6602 0.4377 0.0000  2 Pd 3.29, 2 In 3.37-3.68, 3 La 3.43-3.51
La 0.6752 0.0560 0.0000  1 Pd 3.21, 3 In 3.34-3.59, 2 La 3.51
La 0.8248 0.5560 0.5000  1 Pd 3.21, 3 In 3.34-3.59, 2 La 3.51
La 0.8398 0.9377 0.5000  2 Pd 3.29, 2 In 3.37-3.68, 3 La 3.43-3.51
La 0.9976 0.7640 0.0000  1 Pd 2.77, 1 In 3.10
In 0.0000 0.5000 0.0000  8 La 3.10-3.37
In 0.1646 0.7492 0.5000  4 La 3.23-3.59
In 0.3354 0.2492 0.0000  4 La 3.23-3.59
In 0.5000 0.0000 0.5000  8 La 3.10-3.37
In 0.6646 0.7508 0.0000  4 La 3.23-3.59
In 0.8354 0.2508 0.5000  4 La 3.23-3.59
Pd 0.0000 0.0000 0.0000  2 La 2.77
Pd 0.5000 0.5000 0.5000  2 La 2.77

=====

Entry 12:
Material: LaIn3Pd3
Method: DFT, PBE-GGA
State: optimized geometry

Computed properties:
energy above the lowest structure with this stoichiometry	34.5	kJ/mol of formula units
calculated total energy	-4.613	eV per atom
energy of formation	-0.510	eV/atom

a = 7.3032 Å, b = 7.3032 Å, c = 7.3032 Å
α = 69.62°, β = 69.62°, γ = 69.62°
Closest atoms and distances in Å follow each position.
Atoms (fractional coordinates):
La 0.1731 0.1731 0.1731  6 Pd 2.99-3.12
La 0.8269 0.8269 0.8269  6 Pd 2.99-3.12
In 0.0793 0.3642 0.6899  4 Pd 2.74-2.83
In 0.3101 0.9207 0.6358  4 Pd 2.74-2.83
In 0.3642 0.6899 0.0793  4 Pd 2.74-2.83
In 0.6358 0.3101 0.9207  4 Pd 2.74-2.83
In 0.6899 0.0793 0.3642  4 Pd 2.74-2.83
In 0.9207 0.6358 0.3101  4 Pd 2.74-2.83
Pd 0.1531 0.7441 0.4582  4 In 2.74-2.83, 2 Pd 2.93, 1 La 2.99
Pd 0.2559 0.5418 0.8469  4 In 2.74-2.83, 2 Pd 2.93, 1 La 2.99
Pd 0.4582 0.1531 0.7441  4 In 2.74-2.83, 2 Pd 2.93, 1 La 2.99
Pd 0.5418 0.8469 0.2559  4 In 2.74-2.83, 2 Pd 2.93, 1 La 2.99
Pd 0.7441 0.4582 0.1531  4 In 2.74-2.83, 2 Pd 2.93, 1 La 2.99
Pd 0.8469 0.2559 0.5418  4 In 2.74-2.83, 2 Pd 2.93, 1 La 2.99